Here is a geometry-optimized Cd2Ga3AgO8 structure from Alexandria. Energies are from PBE-GGA.

Computed properties:
Total DFT energy (no corrections): -5.017 eV/atom

abc: 6.441 6.441 6.441
angles: 57.15 57.15 57.15
Element x y z (fractional)
1 Cd 0.000 0.000 0.000
2 Cd 0.370 0.370 0.370
3 Ga 0.001 0.001 0.494
4 Ga 0.001 0.494 0.001
5 Ga 0.494 0.001 0.001
6 Ag 0.630 0.630 0.630
7 O 0.201 0.751 0.751
8 O 0.233 0.233 0.233
9 O 0.250 0.250 0.798
10 O 0.250 0.798 0.250
11 O 0.751 0.201 0.751
12 O 0.751 0.751 0.201
13 O 0.768 0.768 0.768
14 O 0.798 0.250 0.250